CsK2BiI6 | GGA-PBE | relaxed

Computed properties:
crystal system = trigonal
ρ = 3.65 Mg/m³
total DFT energy (no corrections) = -0.0993 Ha/atom

```
data_CsK2BiI6
_chemical_formula_sum 'Cs3 K6 Bi3 I18'
_symmetry_space_group_name_H-M 'R 3'
_symmetry_Int_Tables_number 146
_symmetry_space_group_name_Hall 'R 3'
_cell_length_a 8.8984
_cell_length_b 8.8984
_cell_length_c 23.5288
_cell_angle_alpha 90.00
_cell_angle_beta 90.00
_cell_angle_gamma 120.00
loop_
_atom_site_label
_atom_site_fract_x
_atom_site_fract_y
_atom_site_fract_z
Cs1 0.0000 0.0000 0.0000
K1 0.0000 0.0000 0.1966
K2 0.0000 0.0000 0.7154
Bi1 0.0000 0.0000 0.5174
I1 0.0474 0.3616 0.1112
I2 0.0743 0.6936 0.2663
```